10
Lattice="-2.731 0.469 -3.247 -2.386 -3.184 1.546 -5.535 6.893 5.651" Properties=species:S:1:pos:R:3 comment="La2Al4CuIr3 (PBE, optimized geometry)" space_group="P-4m2, No. 115" magmom_total_mub_per_cell=0.000 n_ef_per_ev_fu=6.649 formation_energy_ev_per_atom=-0.752 density_g_cm3=8.9 total_energy_ev_per_fu=-63.02 pbc="T T T"
Al 0.000 0.000 0.000
Al -2.558 -1.357 -0.850
Al -4.804 4.518 1.888
Al -3.289 1.018 2.913
La -5.331 3.562 4.998
La -2.762 1.974 -0.197
Ir -6.156 6.201 3.268
Ir -2.767 3.446 2.826
Ir -1.937 -0.665 1.533
Cu -5.326 2.089 1.975